Compound: Pu2BiOs
Source: Alexandria
Functional: GGA-PBE
Structure: optimized geometry

Structure (extended XYZ):
```
4
Lattice="-1.046 -2.553 -1.797 2.731 -1.666 0.777 -4.077 -3.354 7.140" Properties=species:S:1:pos:R:3 pbc="T T T"
Os 0.842 -2.110 -0.510
Bi -1.196 -3.786 3.060
Pu -3.261 -2.683 5.711
Pu -0.816 -0.671 1.428
```

* calculated total energy: -44.6 eV per formula unit